DFT (PBE-GGA) results for a relaxed Mg8CdAg2 crystal.

Lattice parameters (Å, degrees): 7.6024 7.6024 5.1571 101.41 101.41 117.88
Last column: nearest neighbours and their distance in Å.
Atoms (fractional coordinates):
Mg 0.0903 0.3239 0.6065  2 Ag 2.76-2.86, 2 Mg 3.00-3.04
Mg 0.2258 0.7742 0.0000  2 Ag 2.77, 1 Cd 2.94
Mg 0.3239 0.0903 0.6065  2 Ag 2.76-2.86, 2 Mg 3.00-3.04
Mg 0.3972 0.3972 0.1962  1 Cd 2.88, 4 Mg 2.92-3.21, 2 Ag 2.95
Mg 0.6028 0.6028 0.8038  1 Cd 2.88, 4 Mg 2.92-3.21, 2 Ag 2.95
Mg 0.6761 0.9097 0.3935  2 Ag 2.76-2.86, 2 Mg 3.00-3.04
Mg 0.7742 0.2258 0.0000  2 Ag 2.77, 1 Cd 2.94
Mg 0.9097 0.6761 0.3935  2 Ag 2.76-2.86, 2 Mg 3.00-3.04
Cd 0.0000 0.0000 0.0000  4 Mg 2.88-2.94
Ag 0.3034 0.6966 0.5000  8 Mg 2.76-2.95
Ag 0.6966 0.3034 0.5000  8 Mg 2.76-2.95

Values from the calculation:
- Uncorrected energy: -1.8210 eV per atom
- Relative energy among the computed polymorphs: 41 meV per atom
- Calculated formation energy: -0.06 eV per atom